Entry from Alexandria via LeMat-Bulk: a relaxed Sc2UTl3Te6 crystal (PBE-GGA).

Computed properties:
**Formation energy from raw total energies**: -0.778 eV per atom
**Fermi-level density of states**: 6.1 states/eV/cell
**SG**: C2/m (12)

Cell and atoms, written as POSCAR:
```
Sc2UTl3Te6
1.0
7.484 0.002 0.000
-3.738 6.484 0.000
-1.249 -2.163 8.212
Te U Tl Sc
6 1 3 2
Direct
0.930 0.583 0.791
0.279 0.279 0.795
0.583 0.930 0.791
0.070 0.417 0.209
0.417 0.070 0.209
0.721 0.721 0.205
0.000 0.000 0.000
0.161 0.839 0.500
0.500 0.500 0.500
0.839 0.161 0.500
0.667 0.333 0.000
0.333 0.667 0.000
```